(1)
{"formula": "SmScBr", "functional": "PBE-GGA", "state": "optimized geometry", "raw_formation_energy_mev_per_atom": -680, "dos_at_fermi_per_ev_cell": 3.93, "magnetic_moment_mub_per_cell": 0.240, "cell": [[3.627, 0.000, 0.000], [-1.813, 3.141, 0.000], [0.000, 0.000, 7.137]], "species": ["Sm", "Sc", "Br"], "frac_coords": [[0.000, 0.000, 0.000], [0.667, 0.333, 0.361], [0.333, 0.667, 0.653]]}


(2)
{"formula": "Ta5Pt", "functional": "PBE-GGA", "state": "optimized geometry", "dos_at_fermi_per_ev_cell": 7.63, "magnetic_moment_mub_per_cell": 0.000, "ef_mev_per_atom": -273, "cell": [[10.270, 0.000, 0.000], [0.000, 3.395, 0.000], [-2.057, 0.000, 6.097]], "species": ["Ta", "Ta", "Ta", "Ta", "Ta", "Ta", "Ta", "Ta", "Ta", "Ta", "Pt", "Pt"], "frac_coords": [[0.000, 0.000, 0.000], [0.165, 0.500, 0.834], [0.168, 0.500, 0.332], [0.332, 0.000, 0.668], [0.335, 0.000, 0.166], [0.500, 0.500, 0.000], [0.665, 0.000, 0.834], [0.668, 0.000, 0.332], [0.832, 0.500, 0.668], [0.835, 0.500, 0.166], [0.000, 0.000, 0.500], [0.500, 0.500, 0.500]]}


(3)
{"formula": "TcRhW2", "functional": "PBE-GGA", "state": "optimized geometry", "dos_at_fermi_per_ev_cell": 5.05, "magnetic_moment_mub_per_cell": 0.000, "ef_mev_per_atom": 1521, "cell": [[5.673, 0.000, 0.000], [0.000, 5.673, 0.000], [0.000, 0.000, 11.281]], "species": ["Tc", "Tc", "Tc", "Tc", "Rh", "Rh", "Rh", "Rh", "W", "W", "W", "W", "W", "W", "W", "W"], "frac_coords": [[0.000, 0.000, 0.000], [0.000, 0.500, 0.250], [0.500, 0.000, 0.750], [0.500, 0.500, 0.500], [0.000, 0.000, 0.500], [0.000, 0.500, 0.750], [0.500, 0.000, 0.250], [0.500, 0.500, 0.000], [0.247, 0.250, 0.625], [0.250, 0.747, 0.875], [0.250, 0.753, 0.375], [0.253, 0.250, 0.125], [0.747, 0.750, 0.125], [0.750, 0.247, 0.375], [0.750, 0.253, 0.875], [0.753, 0.750, 0.625]]}


Listing final energy for the structures above in their given order: -4.92, -11.16, -9.38 eV/atom.